## 1
Material: DyY2Lu
Method: DFT, GGA-PBE
State: relaxed

V   31.86 A^3/atom
Size of the total moment   0.00 μB per formula unit
Fermi-level density of states   2.56 states/eV/atom
Symmetry   No. 225

Cell lengths 5.649, 5.649, 5.649 Å; angles 60.00, 60.00, 60.00 degrees
Atoms (fractional coordinates):
Y1 0.250 0.250 0.250
Y2 0.750 0.750 0.750
Lu1 0.500 0.500 0.500
Dy1 0.000 0.000 0.000

## 2
Material: DyY2Lu
Method: DFT, GGA-PBE
State: relaxed

V   31.30 A^3/atom
Size of the total moment   0.02 μB per formula unit
Fermi-level density of states   1.48 states/eV/atom
Symmetry   No. 123

Cell lengths 5.007, 5.001, 5.001 Å; angles 90.00, 90.00, 90.00 degrees
Atoms (fractional coordinates):
Y1 0.000 0.000 0.500
Y2 0.000 0.500 0.000
Lu1 0.500 0.500 0.500
Dy1 0.500 0.000 0.000

Stability summary: most stable 2, least stable 1.

## 1
Material: DyY2Lu
Method: DFT, GGA-PBE
State: relaxed

V   31.30 A^3/atom
Size of the total moment   0.00 μB per formula unit
Fermi-level density of states   1.39 states/eV/atom
Symmetry   No. 123

Cell lengths 3.536, 3.536, 10.014 Å; angles 90.00, 90.00, 90.00 degrees
Atoms (fractional coordinates):
Y1 0.000 0.000 0.752
Y2 0.000 0.000 0.248
Lu1 0.500 0.500 0.000
Dy1 0.500 0.500 0.500

## 2
Material: DyY2Lu
Method: DFT, GGA-PBE
State: relaxed

V   32.22 A^3/atom
Size of the total moment   0.00 μB per formula unit
Fermi-level density of states   1.62 states/eV/atom
Symmetry   No. 166

Cell lengths 3.472, 3.472, 12.507 Å; angles 82.02, 82.02, 60.00 degrees
Atoms (fractional coordinates):
Y1 0.089 0.089 0.732
Y2 0.911 0.911 0.268
Lu1 0.000 0.000 0.000
Dy1 0.500 0.500 0.500

Stability summary: most stable 1, least stable 2.

## 1
Material: DyLu2Zn
Method: DFT, GGA-PBE
State: relaxed

V   26.02 A^3/atom
Size of the total moment   0.00 μB per formula unit
Fermi-level density of states   0.96 states/eV/atom
Symmetry   No. 123

Cell lengths 3.494, 3.494, 8.522 Å; angles 90.00, 90.00, 90.00 degrees
Atoms (fractional coordinates):
Zn1 0.500 0.500 0.000
Lu1 0.000 0.000 0.796
Lu2 0.000 0.000 0.204
Dy1 0.500 0.500 0.500

## 2
Material: DyLu2Zn
Method: DFT, GGA-PBE
State: relaxed

V   26.77 A^3/atom
Size of the total moment   0.00 μB per formula unit
Fermi-level density of states   0.91 states/eV/atom
Symmetry   No. 166

Cell lengths 3.491, 3.491, 10.343 Å; angles 80.28, 80.28, 60.00 degrees
Atoms (fractional coordinates):
Zn1 0.000 0.000 0.000
Lu1 0.261 0.261 0.217
Lu2 0.739 0.739 0.783
Dy1 0.500 0.500 0.500

## 3
Material: DyLu2Zn
Method: DFT, GGA-PBE
State: relaxed

V   25.60 A^3/atom
Size of the total moment   0.00 μB per formula unit
Fermi-level density of states   1.28 states/eV/atom
Symmetry   No. 123

Cell lengths 4.683, 4.676, 4.676 Å; angles 90.00, 90.00, 90.00 degrees
Atoms (fractional coordinates):
Zn1 0.500 0.000 0.000
Lu1 0.000 0.000 0.500
Lu2 0.000 0.500 0.000
Dy1 0.500 0.500 0.500

Stability summary: most stable 1, least stable 3.

## 1
Material: Dy2Mg
Method: DFT, GGA-PBE
State: relaxed

V   28.71 A^3/atom
Size of the total moment   0.00 μB per formula unit
Fermi-level density of states   1.33 states/eV/atom
Symmetry   No. 123

Cell lengths 3.659, 3.659, 12.864 Å; angles 90.00, 90.00, 90.00 degrees
Atoms (fractional coordinates):
Dy1 0.500 0.500 0.000
Dy2 0.500 0.500 0.312
Dy3 0.000 0.000 0.500
Dy4 0.500 0.500 0.688
Mg1 0.000 0.000 0.846
Mg2 0.000 0.000 0.154

## 2
Material: Dy2Mg
Method: DFT, GGA-PBE
State: relaxed

V   30.82 A^3/atom
Size of the total moment   0.00 μB per formula unit
Fermi-level density of states   1.55 states/eV/atom
Symmetry   No. 227

Cell lengths 6.395, 6.395, 6.395 Å; angles 60.00, 60.00, 60.00 degrees
Atoms (fractional coordinates):
Mg1 0.000 0.000 0.000
Mg2 0.250 0.250 0.250
Dy1 0.125 0.625 0.625
Dy2 0.625 0.125 0.625
Dy3 0.625 0.625 0.625
Dy4 0.625 0.625 0.125

Stability summary: most stable 1, least stable 2.